This record from Alexandria via LeMat-Bulk describes MnAlF5 after structural relaxation. The functional is PBE+U.

Calculated values
**E_tot**: -171.209 eV for the cell shown
**Magnetization**: 5.000 μB/f.u.

a = 3.6300 Å, b = 10.0269 Å, c = 9.6803 Å
α = 90.00°, β = 90.00°, γ = 90.00°
Space group Cmcm (No. 63)
Asymmetric unit:
Mn: 0.0000 0.0000 0.0000 (multiplicity 4)
Al: 0.0000 0.2940 0.2500 (multiplicity 4)
F: 0.0000 0.1699 0.1177 (multiplicity 8)
F: 0.0000 0.1928 0.7500 (multiplicity 4)
F: 0.0000 0.4265 0.1152 (multiplicity 8)